NbHg3N, optimized geometry, DFT GGA-PBE; N(E_F) = 3.8 states/eV/cell; energy relative to the elements, uncorrected = 1.324 eV/atom; energy above the lowest structure with this stoichiometry = 0.00 eV/f.u.; total magnetic moment = 3.399 μB per formula unit
1.0
4.6891 0.0000 0.0000
0.0000 4.6891 0.0000
0.0000 0.0000 4.6891
Hg Nb N
3 1 1
Direct
0.0000 0.5000 0.0000 Hg
0.5000 0.0000 0.0000 Hg
0.0000 0.0000 0.5000 Hg
0.5000 0.5000 0.5000 Nb
0.0000 0.0000 0.0000 N